Compound: CePuFeRu
Source: the Alexandria database
Functional: PBE
Structure: optimized geometry

Geometry as CIF:
```
data_CePuFeRu
_chemical_formula_sum 'Ce4 Pu4 Fe4 Ru4'
_cell_length_a 6.782
_cell_length_b 6.782
_cell_length_c 6.782
_cell_angle_alpha 90.00
_cell_angle_beta 90.00
_cell_angle_gamma 90.00
_symmetry_space_group_name_H-M 'F -4 3 m'
_symmetry_Int_Tables_number 216
_symmetry_space_group_name_Hall 'F -4 2 3'
loop_
_atom_site_label
_atom_site_fract_x
_atom_site_fract_y
_atom_site_fract_z
Ce1 0.000 0.000 0.000
Pu1 0.000 0.000 0.500
Fe1 0.250 0.250 0.750
Ru1 0.250 0.250 0.250
```

Calculated values
For the calculated total energy, the calculation gives -9.563 eV/atom. The calculation puts the formation energy at -0.06 eV per atom.